# 1
# NiHgB2H (PBE, relaxed)
# - spin magnetization (μB/f.u.) = 0.00
# - raw total energy (eV per atom) = -3.58
data_NiHgB2H
_cell_length_a 3.683
_cell_length_b 3.683
_cell_length_c 5.189
_cell_angle_alpha 90.00
_cell_angle_beta 90.00
_cell_angle_gamma 90.00
_space_group_name_H-M_alt 'P 4/m m m'
_space_group_IT_number 123
_space_group_name_Hall '-P 4 2'
loop_
_atom_site_label
_atom_site_type_symbol
_atom_site_fract_x
_atom_site_fract_y
_atom_site_fract_z
Ni1 Ni 0.000 0.000 0.000
Hg1 Hg 0.000 0.000 0.500
B1 B 0.000 0.500 0.000
H1 H 0.500 0.500 0.500

=====

# 2
# Sr3AlSe (PBE, relaxed)
# - spin magnetization (μB/f.u.) = 0.00
# - polymorph energy (0 for the lowest one) (meV per atom) = 0
# - formation energy from raw total energies (eV per atom) = -0.595
data_Sr3AlSe
_cell_length_a 5.872
_cell_length_b 5.872
_cell_length_c 5.872
_cell_angle_alpha 90.00
_cell_angle_beta 90.00
_cell_angle_gamma 90.00
_space_group_name_H-M_alt 'P m -3 m'
_space_group_IT_number 221
_space_group_name_Hall '-P 4 2 3'
loop_
_atom_site_label
_atom_site_type_symbol
_atom_site_fract_x
_atom_site_fract_y
_atom_site_fract_z
Sr1 Sr 0.000 0.000 0.500
Al1 Al 0.500 0.500 0.500
Se1 Se 0.000 0.000 0.000

=====

# 3
# TbAgHg4 (PBE, relaxed)
# - spin magnetization (μB/f.u.) = 0.00
# - formation enthalpy at 0 K (eV/atom) = -0.18
# - polymorph energy (0 for the lowest one) (meV per atom) = 0
data_TbAgHg4
_cell_length_a 5.196
_cell_length_b 6.933
_cell_length_c 7.888
_cell_angle_alpha 90.00
_cell_angle_beta 98.13
_cell_angle_gamma 90.00
_space_group_name_H-M_alt 'P 1 21/m 1'
_space_group_IT_number 11
_space_group_name_Hall '-P 2yb'
loop_
_atom_site_label
_atom_site_type_symbol
_atom_site_fract_x
_atom_site_fract_y
_atom_site_fract_z
Tb1 Tb 0.249 0.250 0.342
Ag1 Ag 0.251 0.750 0.337
Hg1 Hg 0.000 0.000 0.000
Hg2 Hg 0.253 0.011 0.671
Hg3 Hg 0.494 0.750 0.994

=====

# 4
# Zr2In2Sb (PBE, relaxed)
# - spin magnetization (μB/f.u.) = 0.00
# - polymorph energy (0 for the lowest one) (meV per atom) = 303
# - formation energy from raw total energies (eV per atom) = -0.016
data_Zr2In2Sb
_cell_length_a 7.710
_cell_length_b 7.710
_cell_length_c 4.049
_cell_angle_alpha 90.00
_cell_angle_beta 90.00
_cell_angle_gamma 90.00
_space_group_name_H-M_alt 'P 4/m b m'
_space_group_IT_number 127
_space_group_name_Hall '-P 4 2ab'
loop_
_atom_site_label
_atom_site_type_symbol
_atom_site_fract_x
_atom_site_fract_y
_atom_site_fract_z
Zr1 Zr 0.173 0.327 0.000
In1 In 0.129 0.629 0.500
Sb1 Sb 0.000 0.000 0.500

=====

# 5
# SmHoIrRh (PBE, relaxed)
# - spin magnetization (μB/f.u.) = 0.00
# - formation enthalpy at 0 K (eV/atom) = -0.80
data_SmHoIrRh
_cell_length_a 6.912
_cell_length_b 6.912
_cell_length_c 6.912
_cell_angle_alpha 90.00
_cell_angle_beta 90.00
_cell_angle_gamma 90.00
_space_group_name_H-M_alt 'F -4 3 m'
_space_group_IT_number 216
_space_group_name_Hall 'F -4 2 3'
loop_
_atom_site_label
_atom_site_type_symbol
_atom_site_fract_x
_atom_site_fract_y
_atom_site_fract_z
Sm1 Sm 0.000 0.000 0.000
Ho1 Ho 0.000 0.000 0.500
Ir1 Ir 0.250 0.250 0.250
Rh1 Rh 0.250 0.250 0.750

=====

# 6
# LaDy3Sc2 (PBE, relaxed)
# - spin magnetization (μB/f.u.) = 0.00
# - formation enthalpy at 0 K (eV/atom) = 0.15
# - polymorph energy (0 for the lowest one) (meV per atom) = 0
data_LaDy3Sc2
_cell_length_a 22.763
_cell_length_b 3.405
_cell_length_c 9.937
_cell_angle_alpha 90.00
_cell_angle_beta 108.02
_cell_angle_gamma 90.00
_space_group_name_H-M_alt 'C 1 2/m 1'
_space_group_IT_number 12
_space_group_name_Hall '-C 2y'
loop_
_atom_site_label
_atom_site_type_symbol
_atom_site_fract_x
_atom_site_fract_y
_atom_site_fract_z
La1 La 0.183 0.000 0.048
Dy1 Dy 0.060 0.000 0.438
Dy2 Dy 0.066 0.500 0.768
Dy3 Dy 0.196 0.000 0.706
Sc1 Sc 0.069 0.500 0.143
Sc2 Sc 0.192 0.000 0.375

=====

# 7
# NaNd2Sc (PBE, relaxed)
# - spin magnetization (μB/f.u.) = 0.00
# - formation enthalpy at 0 K (eV/atom) = 0.14
# - polymorph energy (0 for the lowest one) (meV per atom) = 0
data_NaNd2Sc
_cell_length_a 3.875
_cell_length_b 3.875
_cell_length_c 8.911
_cell_angle_alpha 90.00
_cell_angle_beta 90.00
_cell_angle_gamma 90.00
_space_group_name_H-M_alt 'P 4/m m m'
_space_group_IT_number 123
_space_group_name_Hall '-P 4 2'
loop_
_atom_site_label
_atom_site_type_symbol
_atom_site_fract_x
_atom_site_fract_y
_atom_site_fract_z
Na1 Na 0.000 0.000 0.000
Nd1 Nd 0.500 0.500 0.286
Sc1 Sc 0.000 0.000 0.500

=====

# 8
# TlAg3Cl7 (PBE, relaxed)
# - spin magnetization (μB/f.u.) = 0.00
# - formation energy from raw total energies (eV per atom) = -0.420
data_TlAg3Cl7
_cell_length_a 11.095
_cell_length_b 8.955
_cell_length_c 6.924
_cell_angle_alpha 90.00
_cell_angle_beta 116.56
_cell_angle_gamma 90.00
_space_group_name_H-M_alt 'C 1 2/m 1'
_space_group_IT_number 12
_space_group_name_Hall '-C 2y'
loop_
_atom_site_label
_atom_site_type_symbol
_atom_site_fract_x
_atom_site_fract_y
_atom_site_fract_z
Tl1 Tl 0.000 0.000 0.000
Ag1 Ag 0.000 0.289 0.500
Ag2 Ag 0.000 0.500 0.000
Cl1 Cl 0.000 0.000 0.500
Cl2 Cl 0.117 0.302 0.273
Cl3 Cl 0.169 0.500 0.770

=====

# 9
# AlTlF4 (PBE, relaxed)
# - spin magnetization (μB/f.u.) = 0.00
# - formation energy from raw total energies (eV per atom) = -2.999
data_AlTlF4
_cell_length_a 3.696
_cell_length_b 3.696
_cell_length_c 6.472
_cell_angle_alpha 90.00
_cell_angle_beta 90.00
_cell_angle_gamma 90.00
_space_group_name_H-M_alt 'P 4/m m m'
_space_group_IT_number 123
_space_group_name_Hall '-P 4 2'
loop_
_atom_site_label
_atom_site_type_symbol
_atom_site_fract_x
_atom_site_fract_y
_atom_site_fract_z
Al1 Al 0.000 0.000 0.000
Tl1 Tl 0.500 0.500 0.500
F1 F 0.000 0.000 0.277
F2 F 0.000 0.500 0.000

=====

# 10
# PmIn5Ag (PBE, relaxed)
# - spin magnetization (μB/f.u.) = 0.00
# - formation enthalpy at 0 K (eV/atom) = -0.25
data_PmIn5Ag
_cell_length_a 4.847
_cell_length_b 4.847
_cell_length_c 7.646
_cell_angle_alpha 90.00
_cell_angle_beta 90.00
_cell_angle_gamma 90.00
_space_group_name_H-M_alt 'P 4/m m m'
_space_group_IT_number 123
_space_group_name_Hall '-P 4 2'
loop_
_atom_site_label
_atom_site_type_symbol
_atom_site_fract_x
_atom_site_fract_y
_atom_site_fract_z
Pm1 Pm 0.000 0.000 0.000
In1 In 0.000 0.500 0.292
In2 In 0.500 0.500 0.000
Ag1 Ag 0.000 0.000 0.500

=====

# 11
# ScCo2AsRu (PBE, relaxed)
# - spin magnetization (μB/f.u.) = 4.34
# - formation enthalpy at 0 K (eV/atom) = 1.38
data_ScCo2AsRu
_cell_length_a 4.315
_cell_length_b 4.315
_cell_length_c 4.862
_cell_angle_alpha 90.00
_cell_angle_beta 90.00
_cell_angle_gamma 90.00
_space_group_name_H-M_alt 'P 4/m m m'
_space_group_IT_number 123
_space_group_name_Hall '-P 4 2'
loop_
_atom_site_label
_atom_site_type_symbol
_atom_site_fract_x
_atom_site_fract_y
_atom_site_fract_z
Sc1 Sc 0.000 0.000 0.000
Co1 Co 0.000 0.500 0.000
As1 As 0.000 0.000 0.500
Ru1 Ru 0.500 0.500 0.500

=====

# 12
# NdErMg5 (PBE, relaxed)
# - spin magnetization (μB/f.u.) = 0.00
# - formation enthalpy at 0 K (eV/atom) = 0.10
data_NdErMg5
_cell_length_a 6.317
_cell_length_b 9.755
_cell_length_c 6.702
_cell_angle_alpha 90.00
_cell_angle_beta 110.02
_cell_angle_gamma 90.00
_space_group_name_H-M_alt 'C 1 2/m 1'
_space_group_IT_number 12
_space_group_name_Hall '-C 2y'
loop_
_atom_site_label
_atom_site_type_symbol
_atom_site_fract_x
_atom_site_fract_y
_atom_site_fract_z
Nd1 Nd 0.000 0.000 0.000
Er1 Er 0.000 0.500 0.500
Mg1 Mg 0.000 0.000 0.500
Mg2 Mg 0.203 0.288 0.230